Entry 1:
Mg3Al2Cu4 | PBEsol | relaxed

Calculated values
* raw total energy: -3.617 eV per atom
* E above lowest polymorph: 6.7 meV per atom
* density of states at the Fermi level: 2.314 states/eV/f.u.

a b c (Å): 4.9737 5.0206 12.2440
angles (deg): 89.48 89.00 60.33
Space group P-1 (No. 2)
Asymmetric unit:
Mg 0.0022 0.0092 0.3675 x2
Mg 0.3280 0.3444 0.2862 x2
Mg 0.3357 0.3359 0.0396 x2
Al 0.1705 0.1623 0.8353 x2
Al 0.5000 0.0000 0.5000 x1
Al 0.5000 0.5000 0.5000 x1
Cu 0.0000 0.0000 0.0000 x1
Cu 0.0000 0.5000 0.5000 x1
Cu 0.1678 0.6632 0.8347 x2
Cu 0.3318 0.8367 0.1661 x2
Cu 0.3344 0.3303 0.6671 x2

=====

Entry 2:
HfTeSe | PBEsol | relaxed

Calculated values
* formation energy from raw total energies: -1.0659 eV/atom
* raw total energy: -7.026 eV per atom
* density of states at the Fermi level: 0.616 states/eV/f.u.

a b c (Å): 3.7751 3.7751 6.4518
angles (deg): 90.00 90.00 120.00
Space group P3m1 (No. 156)
Asymmetric unit:
Hf 0.0000 0.0000 0.0000 x1
Te 0.3333 0.6667 0.7105 x1
Se 0.6667 0.3333 0.2322 x1

=====

Entry 3:
Na2CuP2O7 | PBEsol | relaxed

Calculated values
* formation energy from raw total energies: -1.9720 eV/atom
* raw total energy: -6.594 eV per atom
* E above lowest polymorph: 4.4 meV per atom

a b c (Å): 5.0759 13.4789 9.9676
angles (deg): 90.00 117.42 90.00
Space group P2_1/c (No. 14)
Asymmetric unit:
Na 0.0812 0.2090 0.3463 x4
Na 0.4152 0.1130 0.1311 x4
Cu 0.4430 0.1552 0.7403 x4
P 0.0214 0.5356 0.7254 x4
P 0.2269 0.6772 0.9555 x4
O 0.0824 0.2214 0.5856 x4
O 0.0854 0.5693 0.2917 x4
O 0.1731 0.5615 0.9067 x4
O 0.2273 0.1146 0.8513 x4
O 0.2648 0.5509 0.6753 x4
O 0.3530 0.7242 0.8559 x4
O 0.4336 0.6833 0.1227 x4

=====

Entry 4:
BaSbIr | PBEsol | relaxed

Calculated values
* formation energy from raw total energies: -0.2093 eV/atom
* raw total energy: -5.719 eV per atom
* density of states at the Fermi level: 2.827 states/eV/f.u.

a b c (Å): 3.5896 3.5896 11.9489
angles (deg): 90.00 90.00 90.00
Space group I4mm (No. 107)
Asymmetric unit:
Ba 0.0000 0.0000 0.0000 x2
Sb 0.0000 0.0000 0.2799 x2
Ir 0.0000 0.0000 0.7006 x2

=====

Entry 5:
ZnPtN2O | PBEsol | relaxed

Calculated values
* formation energy from raw total energies: 1.0285 eV/atom
* raw total energy: -5.141 eV per atom
* density of states at the Fermi level: 2.818 states/eV/f.u.

a b c (Å): 3.7219 3.7219 4.4212
angles (deg): 90.00 90.00 90.00
Space group P4/mmm (No. 123)
Asymmetric unit:
Zn 0.0000 0.0000 0.0000 x1
Pt 0.5000 0.5000 0.5000 x1
N 0.0000 0.5000 0.5000 x2
O 0.5000 0.5000 0.0000 x1

=====

Entry 6:
NaZn2PtC | PBEsol | relaxed

Calculated values
* raw total energy: -3.608 eV per atom
* density of states at the Fermi level: 2.646 states/eV/f.u.

a b c (Å): 3.9609 3.9609 4.5667
angles (deg): 90.00 90.00 90.00
Space group P4/mmm (No. 123)
Asymmetric unit:
Na 0.0000 0.0000 0.0000 x1
Zn 0.0000 0.5000 0.5000 x2
Pt 0.5000 0.5000 0.0000 x1
C 0.0000 0.0000 0.5000 x1

=====

Entry 7:
AlVFe2 | PBEsol | relaxed

Calculated values
* raw total energy: -8.371 eV per atom
* density of states at the Fermi level: 0.442 states/eV/f.u.

a b c (Å): 5.6325 5.6325 5.6325
angles (deg): 90.00 90.00 90.00
Space group Fm-3m (No. 225)
Asymmetric unit:
Al 0.0000 0.0000 0.0000 x4
V 0.0000 0.0000 0.5000 x4
Fe 0.2500 0.2500 0.2500 x8

=====

Entry 8:
Li2Si4Ni2O11 | PBEsol | relaxed

Calculated values
* formation energy from raw total energies: -2.2133 eV/atom
* raw total energy: -7.317 eV per atom

a b c (Å): 6.8644 7.2853 8.6017
angles (deg): 98.84 101.31 104.91
Space group P-1 (No. 2)
Asymmetric unit:
Li 0.1102 0.2902 0.1957 x2
Li 0.3668 0.7497 0.8371 x2
Si 0.0195 0.7255 0.2291 x2
Si 0.2616 0.1035 0.9690 x2
Si 0.2679 0.4768 0.5864 x2
Si 0.4579 0.7243 0.2354 x2
Ni 0.1274 0.8893 0.6040 x2
Ni 0.3805 0.1131 0.3926 x2
O 0.0823 0.9189 0.3736 x2
O 0.1005 0.2371 0.9414 x2
O 0.1202 0.4624 0.7187 x2
O 0.1746 0.3009 0.4277 x2
O 0.1751 0.8956 0.8425 x2
O 0.2065 0.6479 0.1846 x2
O 0.3172 0.7034 0.5741 x2
O 0.3227 0.1138 0.1591 x2
O 0.4332 0.0785 0.6234 x2
O 0.4780 0.2395 0.9333 x2
O 0.4830 0.4583 0.7006 x2

=====

Entry 9:
Ta2CrIn | PBEsol | relaxed

Calculated values
* raw total energy: -9.428 eV per atom
* density of states at the Fermi level: 2.532 states/eV/f.u.

a b c (Å): 3.3311 4.5260 8.8147
angles (deg): 90.00 90.00 90.00
Space group Immm (No. 71)
Asymmetric unit:
Ta 0.0000 0.0000 0.2261 x4
Cr 0.0000 0.5000 0.5000 x2
In 0.0000 0.5000 0.0000 x2

=====

Entry 10:
ScBr3F | PBEsol | relaxed

Calculated values
* formation energy from raw total energies: -1.0959 eV/atom
* raw total energy: -3.924 eV per atom
* density of states at the Fermi level: 11.646 states/eV/f.u.

a b c (Å): 5.1640 5.1640 5.1640
angles (deg): 90.00 90.00 90.00
Space group Pm-3m (No. 221)
Asymmetric unit:
Sc 0.0000 0.0000 0.0000 x1
Br 0.0000 0.0000 0.5000 x3
F 0.5000 0.5000 0.5000 x1

=====

Entry 11:
TiCrWI2 | PBEsol | relaxed

Calculated values
* formation energy from raw total energies: 1.4740 eV/atom
* raw total energy: -5.707 eV per atom
* density of states at the Fermi level: 7.593 states/eV/f.u.

a b c (Å): 5.1082 5.1082 4.5742
angles (deg): 90.00 90.00 90.00
Space group P4/mmm (No. 123)
Asymmetric unit:
Ti 0.0000 0.0000 0.0000 x1
Cr 0.5000 0.5000 0.5000 x1
W 0.5000 0.5000 0.0000 x1
I 0.0000 0.5000 0.5000 x2

=====

Entry 12:
LiReSi2 | PBEsol | relaxed

Calculated values
* formation energy from raw total energies: -0.0799 eV/atom
* raw total energy: -6.778 eV per atom
* E above lowest polymorph: 128.5 meV per atom
* density of states at the Fermi level: 1.648 states/eV/f.u.

a b c (Å): 8.0986 2.9041 5.0744
angles (deg): 90.00 99.58 90.00
Space group C2/m (No. 12)
Asymmetric unit:
Li 0.0000 0.0000 0.0000 x2
Re 0.0000 0.5000 0.5000 x2
Si 0.2355 0.0000 0.6959 x4